VASP calculation (PBE) on a relaxed Cd4NiOs crystal.

Values from the calculation:
Total DFT energy (no corrections), eV per atom: -2.608
ΔH_f (0 K), eV/atom: 0.84
N(E_F), states/eV/f.u.: 6.1

Lattice parameters (Å, degrees): 7.680 7.680 7.680 90.00 90.00 90.00
Space group F-43m (No. 216)
Unique sites:
Cd (0.125, 0.125, 0.125) x16
Ni (0.250, 0.250, 0.750) x4
Os (0.000, 0.000, 0.500) x4

***

VASP calculation (PBE) on a relaxed UMn2C2 crystal.

Values from the calculation:
Total DFT energy (no corrections), eV per atom: -9.767
ΔH_f (0 K), eV/atom: -0.15
N(E_F), states/eV/f.u.: 6.2

Lattice parameters (Å, degrees): 6.163 8.274 8.963 90.00 90.00 90.00
Space group Fddd (No. 70, origin choice 2)
Unique sites:
U (0.125, 0.125, 0.125) x8
Mn (0.125, 0.125, 0.488) x16
C (0.125, 0.314, 0.625) x16

***

VASP calculation (PBE) on a relaxed Ca3VSb crystal.

Values from the calculation:
Formation energy (no corrections), eV/atom: 0.4667
Energy above the lowest structure with this stoichiometry, meV/atom: 165.7
Total DFT energy (no corrections), eV per atom: -3.382
N(E_F), states/eV/f.u.: 3.2

Lattice parameters (Å, degrees): 5.635 5.635 5.635 90.00 90.00 90.00
Space group Pm-3m (No. 221)
Unique sites:
Ca (0.000, 0.000, 0.500) x3
V (0.000, 0.000, 0.000) x1
Sb (0.500, 0.500, 0.500) x1